No. 1
{"formula": "Sc7Tc2Te2", "functional": "GGA-PBE", "state": "relaxed", "lattice": [[-1.9144, 7.3517, 4.3333], [1.9144, -7.3517, 4.3333], [1.9144, 7.3517, -4.3333]], "species": ["Sc", "Sc", "Sc", "Sc", "Sc", "Sc", "Sc", "Tc", "Tc", "Te", "Te"], "frac_coords": [[0.0000, 0.0000, 0.0000], [0.2775, 0.4142, 0.8633], [0.3107, 0.6285, 0.6822], [0.5509, 0.4142, 0.1367], [0.5954, 0.2502, 0.3451], [0.9051, 0.2502, 0.6549], [0.9463, 0.6285, 0.3178], [0.1706, 0.9379, 0.2328], [0.7051, 0.9379, 0.7672], [0.2651, 0.7651, 0.5000], [0.6654, 0.6654, 0.0000]], "raw_formation_energy_ev_per_fu": -5.97, "crystal_system": "orthorhombic", "dft_energy_ev_per_cell": -77.31}

No. 2
{"formula": "Dy8Ge3PSe3", "functional": "GGA-PBE", "state": "relaxed", "lattice": [[4.1037, 2.3693, 6.6674], [-4.1037, 2.3693, 6.6674], [0.0000, -4.7386, 6.6674]], "species": ["Dy", "Dy", "Dy", "Dy", "Dy", "Dy", "Dy", "Dy", "Ge", "Ge", "Ge", "P", "Se", "Se", "Se"], "frac_coords": [[0.2465, 0.2465, 0.2465], [0.2471, 0.7446, 0.7446], [0.2554, 0.2554, 0.7529], [0.2554, 0.7529, 0.2554], [0.7446, 0.2471, 0.7446], [0.7446, 0.7446, 0.2471], [0.7529, 0.2554, 0.2554], [0.7535, 0.7535, 0.7535], [0.0000, 0.0000, 0.5000], [0.0000, 0.5000, 0.0000], [0.5000, 0.0000, 0.0000], [0.5000, 0.5000, 0.5000], [0.0000, 0.5000, 0.5000], [0.5000, 0.0000, 0.5000], [0.5000, 0.5000, 0.0000]], "raw_formation_energy_ev_per_fu": -19.46, "crystal_system": "trigonal", "dft_energy_ev_per_cell": -85.99}

No. 3
{"formula": "KRbGa4Sn6", "functional": "GGA-PBE", "state": "relaxed", "lattice": [[6.4330, 0.0000, 0.0000], [-3.2165, 5.5711, 0.0000], [0.0000, 0.0000, 10.3426]], "species": ["K", "Rb", "Ga", "Ga", "Ga", "Ga", "Sn", "Sn", "Sn", "Sn", "Sn", "Sn"], "frac_coords": [[0.0000, 0.0000, 0.0000], [0.0000, 0.0000, 0.5000], [0.3333, 0.6667, 0.3773], [0.3333, 0.6667, 0.6227], [0.6667, 0.3333, 0.3773], [0.6667, 0.3333, 0.6227], [0.0000, 0.5000, 0.1603], [0.0000, 0.5000, 0.8397], [0.5000, 0.0000, 0.1603], [0.5000, 0.0000, 0.8397], [0.5000, 0.5000, 0.1603], [0.5000, 0.5000, 0.8397]], "crystal_system": "hexagonal", "dft_energy_ev_per_cell": -38.28, "delta_e_f_ev_per_atom": -0.01}

No. 4
{"formula": "MnCrMoIr", "functional": "GGA-PBE", "state": "relaxed", "lattice": [[6.0407, 0.0000, 0.0000], [0.0000, 6.0407, 0.0000], [0.0000, 0.0000, 6.0407]], "species": ["Mn", "Mn", "Mn", "Mn", "Cr", "Cr", "Cr", "Cr", "Mo", "Mo", "Mo", "Mo", "Ir", "Ir", "Ir", "Ir"], "frac_coords": [[0.0000, 0.0000, 0.0000], [0.0000, 0.5000, 0.5000], [0.5000, 0.0000, 0.5000], [0.5000, 0.5000, 0.0000], [0.0000, 0.0000, 0.5000], [0.0000, 0.5000, 0.0000], [0.5000, 0.0000, 0.0000], [0.5000, 0.5000, 0.5000], [0.2500, 0.2500, 0.2500], [0.2500, 0.7500, 0.7500], [0.7500, 0.2500, 0.7500], [0.7500, 0.7500, 0.2500], [0.2500, 0.2500, 0.7500], [0.2500, 0.7500, 0.2500], [0.7500, 0.2500, 0.2500], [0.7500, 0.7500, 0.7500]], "crystal_system": "cubic", "dft_energy_ev_per_cell": -154.41, "delta_e_f_ev_per_atom": -0.03}

No. 5
{"formula": "LuPuMgAl", "functional": "GGA-PBE", "state": "relaxed", "lattice": [[7.2790, 0.0000, 0.0000], [0.0000, 7.2790, 0.0000], [0.0000, 0.0000, 7.2790]], "species": ["Lu", "Lu", "Lu", "Lu", "Pu", "Pu", "Pu", "Pu", "Mg", "Mg", "Mg", "Mg", "Al", "Al", "Al", "Al"], "frac_coords": [[0.0000, 0.0000, 0.0000], [0.0000, 0.5000, 0.5000], [0.5000, 0.0000, 0.5000], [0.5000, 0.5000, 0.0000], [0.0000, 0.0000, 0.5000], [0.0000, 0.5000, 0.0000], [0.5000, 0.0000, 0.0000], [0.5000, 0.5000, 0.5000], [0.2500, 0.2500, 0.7500], [0.2500, 0.7500, 0.2500], [0.7500, 0.2500, 0.2500], [0.7500, 0.7500, 0.7500], [0.2500, 0.2500, 0.2500], [0.2500, 0.7500, 0.7500], [0.7500, 0.2500, 0.7500], [0.7500, 0.7500, 0.2500]], "crystal_system": "cubic", "dft_energy_ev_per_cell": -98.07, "delta_e_f_ev_per_atom": -0.08}

No. 6
{"formula": "KNi2As", "functional": "GGA-PBE", "state": "relaxed", "lattice": [[4.0472, 0.0000, 0.0000], [0.0000, 6.7399, 0.0000], [0.0000, 0.0000, 6.2016]], "species": ["K", "K", "Ni", "Ni", "Ni", "Ni", "As", "As"], "frac_coords": [[0.2500, 0.2500, 0.0978], [0.7500, 0.7500, 0.9022], [0.2500, 0.0684, 0.5833], [0.2500, 0.4316, 0.5833], [0.7500, 0.5684, 0.4167], [0.7500, 0.9316, 0.4167], [0.2500, 0.7500, 0.4215], [0.7500, 0.2500, 0.5785]], "crystal_system": "orthorhombic", "dft_energy_ev_per_cell": -36.60, "delta_e_f_ev_per_atom": -0.25}